# LiEu2Ir

A relaxed structure of LiEu2Ir (GGA-PBEsol, Alexandria via LeMat-Bulk).

## Properties
density of states at the Fermi level = 3.3693 states/eV per atom
symmetry = Fm-3m (225)
calculated formation energy = -0.27 eV/atom
ρ = 9.57 g/cm³
crystal system = cubic
magnetization = 13.9 Bohr magnetons per cell

abc: 4.9791 4.9791 4.9791
angles: 60.00 60.00 60.00
Last column: magnetic moment on the atom in μB.
Atoms (fractional coordinates):
Eu: 0.2500 0.2500 0.2500  6.76
Eu: 0.7500 0.7500 0.7500  6.76
Li: 0.0000 0.0000 0.0000  0.02
Ir: 0.5000 0.5000 0.5000  -0.23


# Sr2TlZn

A relaxed structure of Sr2TlZn (GGA-PBEsol, Alexandria via LeMat-Bulk).

## Properties
density of states at the Fermi level = 0.5375 states/eV per atom
symmetry = Pmm2 (25)
calculated formation energy = -0.31 eV/atom
ρ = 6.10 g/cm³
crystal system = orthorhombic
magnetization = 0.0 Bohr magnetons per cell

abc: 3.8479 5.6094 5.6105
angles: 90.00 90.00 90.00
Atoms (fractional coordinates):
Tl: 0.5000 0.0000 0.6226
Sr: 0.0000 0.5000 0.6260
Sr: 0.0000 0.0000 0.1237
Zn: 0.5000 0.5000 0.1277


# Tl3ReI

A relaxed structure of Tl3ReI (GGA-PBEsol, Alexandria via LeMat-Bulk).

## Properties
raw formation energy = 1.770 eV per atom
density of states at the Fermi level = 0.7243 states/eV per atom
symmetry = Pm-3m (221)
ρ = 6.68 g/cm³
crystal system = cubic
magnetization = 4.3 Bohr magnetons per cell

abc: 6.1282 6.1282 6.1282
angles: 90.00 90.00 90.00
Last column: magnetic moment on the atom in μB.
Atoms (fractional coordinates):
Tl: 0.5000 0.0000 0.0000  -0.02
Tl: 0.0000 0.0000 0.5000  -0.02
Tl: 0.0000 0.5000 0.0000  -0.02
I: 0.0000 0.0000 0.0000  0.01
Re: 0.5000 0.5000 0.5000  3.82


# LaNiSb

A relaxed structure of LaNiSb (GGA-PBEsol, Alexandria via LeMat-Bulk).

## Properties
raw formation energy = -0.872 eV per atom
density of states at the Fermi level = 0.5075 states/eV per atom
symmetry = P3m1 (156)
ρ = 7.69 g/cm³
crystal system = trigonal
magnetization = 0.0 Bohr magnetons per cell

abc: 4.2089 4.3485 4.3485
angles: 120.00 90.00 90.00
Atoms (fractional coordinates):
La: 0.9959 0.0000 0.0000
Ni: 0.5086 0.3333 0.6667
Sb: 0.4956 0.6667 0.3333


# MnOs3N

A relaxed structure of MnOs3N (GGA-PBEsol, Alexandria via LeMat-Bulk).

## Properties
raw formation energy = 3.056 eV per atom
density of states at the Fermi level = 1.4623 states/eV per atom
symmetry = Pm-3m (221)
ρ = 13.04 g/cm³
crystal system = cubic
magnetization = 0.7 Bohr magnetons per cell

abc: 4.3346 4.3346 4.3346
angles: 90.00 90.00 90.00
Last column: magnetic moment on the atom in μB.
Atoms (fractional coordinates):
Os: 0.5000 0.0000 0.0000  0.21
Os: 0.0000 0.0000 0.5000  0.21
Os: 0.0000 0.5000 0.0000  0.21
N: 0.5000 0.5000 0.5000  0.03
Mn: 0.0000 0.0000 0.0000  -0.03


# ScMn2Ir

A relaxed structure of ScMn2Ir (GGA-PBEsol, Alexandria via LeMat-Bulk).

## Properties
density of states at the Fermi level = 1.1993 states/eV per atom
symmetry = P4/mmm (123)
calculated formation energy = -0.08 eV/atom
excess energy over the best structure of this formula in the dataset = 0 meV/atom
ρ = 10.11 g/cm³
crystal system = tetragonal
magnetization = 5.6 Bohr magnetons per cell

abc: 3.7920 3.7903 3.9659
angles: 90.00 90.00 90.00
Last column: magnetic moment on the atom in μB.
Atoms (fractional coordinates):
Sc: 0.5000 0.0000 0.5000  -0.02
Mn: 0.5000 0.5000 0.0000  2.61
Mn: 0.0000 0.0000 0.0000  2.61
Ir: 0.0000 0.5000 0.5000  0.11


# ReHS2

A relaxed structure of ReHS2 (GGA-PBEsol, Alexandria via LeMat-Bulk).

## Properties
density of states at the Fermi level = 0.6717 states/eV per atom
total energy = -22.73 eV/cell
symmetry = R-3m (166)
ρ = 8.43 g/cm³
crystal system = trigonal
magnetization = 0.0 Bohr magnetons per cell

abc: 2.8282 2.8282 7.3320
angles: 78.88 78.88 60.00
Atoms (fractional coordinates):
S: 0.1049 0.1049 0.6854
S: 0.8951 0.8951 0.3146
Re: 0.0000 0.0000 0.0000
H: 0.5000 0.5000 0.5000


# HfSnS2

A relaxed structure of HfSnS2 (GGA-PBEsol, Alexandria via LeMat-Bulk).

## Properties
raw formation energy = -1.141 eV per atom
density of states at the Fermi level = 0.4402 states/eV per atom
symmetry = R-3m (166)
ρ = 6.65 g/cm³
crystal system = trigonal
magnetization = 0.0 Bohr magnetons per cell

abc: 3.4646 3.4646 8.9021
angles: 78.78 78.78 60.00
Atoms (fractional coordinates):
S: 0.8922 0.8922 0.3233
S: 0.1078 0.1078 0.6767
Sn: 0.0000 0.0000 0.0000
Hf: 0.5000 0.5000 0.5000


# Tm2MgGe2

A relaxed structure of Tm2MgGe2 (GGA-PBEsol, Alexandria via LeMat-Bulk).

## Properties
density of states at the Fermi level = 0.2966 states/eV per atom
symmetry = P4/mbm (127)
calculated formation energy = -0.80 eV/atom
ρ = 8.08 g/cm³
crystal system = tetragonal
magnetization = 0.0 Bohr magnetons per cell

abc: 4.1242 7.1115 7.1115
angles: 90.00 90.00 90.00
Atoms (fractional coordinates):
Tm: 0.5000 0.6767 0.1767
Tm: 0.5000 0.3233 0.8233
Tm: 0.5000 0.1767 0.3233
Tm: 0.5000 0.8233 0.6767
Ge: 0.0000 0.3756 0.1244
Ge: 0.0000 0.1244 0.6244
Ge: 0.0000 0.6244 0.8756
Ge: 0.0000 0.8756 0.3756
Mg: 0.0000 0.0000 0.0000
Mg: 0.0000 0.5000 0.5000


# Be3NiW

A relaxed structure of Be3NiW (GGA-PBEsol, Alexandria via LeMat-Bulk).

## Properties
density of states at the Fermi level = 0.3562 states/eV per atom
symmetry = Pm-3m (221)
calculated formation energy = 1.80 eV/atom
ρ = 6.08 g/cm³
crystal system = cubic
magnetization = 0.0 Bohr magnetons per cell

abc: 4.1922 4.1922 4.1922
angles: 90.00 90.00 90.00
Atoms (fractional coordinates):
Be: 0.5000 0.0000 0.0000
Be: 0.0000 0.0000 0.5000
Be: 0.0000 0.5000 0.0000
Ni: 0.5000 0.5000 0.5000
W: 0.0000 0.0000 0.0000


# TaAl2Os

A relaxed structure of TaAl2Os (GGA-PBEsol, Alexandria via LeMat-Bulk).

## Properties
density of states at the Fermi level = 0.4048 states/eV per atom
symmetry = P4mm (99)
calculated formation energy = -0.38 eV/atom
excess energy over the best structure of this formula in the dataset = 0 meV/atom
ρ = 11.82 g/cm³
crystal system = tetragonal
magnetization = 0.0 Bohr magnetons per cell

abc: 3.1217 3.1217 6.1268
angles: 90.00 90.00 90.00
Atoms (fractional coordinates):
Al: 0.5000 0.5000 0.2620
Al: 0.0000 0.0000 0.0103
Os: 0.0000 0.0000 0.4826
Ta: 0.5000 0.5000 0.7450


# BeRu2

A relaxed structure of BeRu2 (GGA-PBEsol, Alexandria via LeMat-Bulk).

## Properties
density of states at the Fermi level = 0.7765 states/eV per atom
symmetry = Cmcm (63)
calculated formation energy = -0.09 eV/atom
ρ = 10.08 g/cm³
crystal system = orthorhombic
magnetization = 0.0 Bohr magnetons per cell

abc: 2.7529 4.0935 6.3250
angles: 90.00 102.57 90.00
Atoms (fractional coordinates):
Be: 0.5638 0.2500 0.1276
Be: 0.4362 0.7500 0.8724
Ru: 0.7748 0.7500 0.5496
Ru: 0.9075 0.2500 0.8151
Ru: 0.2252 0.2500 0.4504
Ru: 0.0925 0.7500 0.1849